No. 1
Computed, not measured: a relaxed SbOsBr2 crystal at the PBE level of DFT.

POSCAR file:
```
SbOsBr2
1.0
3.143 0.000 0.000
0.000 3.153 0.000
0.000 0.000 9.671
Sb Os Br
1 1 2
Direct
0.000 0.000 0.000
0.000 0.000 0.500
0.500 0.500 0.334
0.500 0.500 0.666
```

Results
- offset from the most stable computed form (kJ/mol of formula units) = 279
- density (g/cm³) = 8.2
- uncorrected formation energy (eV per atom) = 1.00

---

No. 2
Computed, not measured: a relaxed Pr4IrPdBr2 crystal at the PBE level of DFT.

POSCAR file:
```
Pr4IrPdBr2
1.0
7.317 0.000 0.000
0.000 4.228 0.000
-2.456 0.000 7.848
Pr Ir Pd Br
4 1 1 2
Direct
0.225 0.000 0.197
0.258 0.500 0.802
0.742 0.500 0.198
0.775 0.000 0.803
0.000 0.500 0.000
0.500 0.000 0.000
0.000 0.000 0.500
0.500 0.500 0.500
```

Results
- density (g/cm³) = 7.0
- uncorrected formation energy (eV per atom) = -1.06

---

No. 3
Computed, not measured: a relaxed CaPm2Cu6 crystal at the PBE level of DFT.

POSCAR file:
```
CaPm2Cu6
1.0
7.373 0.000 0.000
-3.687 6.386 0.000
0.000 0.000 3.764
Ca Pm Cu
1 2 6
Direct
0.000 0.000 0.000
0.333 0.667 0.000
0.667 0.333 0.000
0.000 0.334 0.500
0.000 0.666 0.500
0.334 0.000 0.500
0.334 0.334 0.500
0.666 0.000 0.500
0.666 0.666 0.500
```

Results
- energy of formation (eV per atom) = -0.1856
- density (g/cm³) = 6.7

---

No. 4
Computed, not measured: a relaxed RbTi2GaSe crystal at the PBE level of DFT.

POSCAR file:
```
RbTi2GaSe
1.0
4.852 0.000 0.000
0.000 4.852 0.000
0.000 0.000 5.454
Rb Ti Ga Se
1 2 1 1
Direct
0.000 0.000 0.000
0.000 0.500 0.000
0.500 0.000 0.000
0.000 0.000 0.500
0.500 0.500 0.500
```

Results
- density (g/cm³) = 4.3
- uncorrected formation energy (eV per atom) = 1.93

---

No. 5
Computed, not measured: a relaxed TcRhSeN2 crystal at the PBE level of DFT.

POSCAR file:
```
TcRhSeN2
1.0
3.726 0.000 0.000
0.000 3.726 0.000
0.000 0.000 6.530
Tc Rh Se N
1 1 1 2
Direct
0.000 0.000 0.000
0.500 0.500 0.500
0.500 0.500 0.000
0.000 0.500 0.500
0.500 0.000 0.500
```

Results
- offset from the most stable computed form (kJ/mol of formula units) = 286
- density (g/cm³) = 5.6
- uncorrected formation energy (eV per atom) = 1.38

---

No. 6
Computed, not measured: a relaxed Pu4Ga12Ge crystal at the PBE level of DFT.

POSCAR file:
```
Pu4Ga12Ge
1.0
-4.381 4.381 4.381
4.381 -4.381 4.381
4.381 4.381 -4.381
Pu Ga Ge
4 12 1
Direct
0.000 0.000 0.500
0.000 0.500 0.000
0.500 0.000 0.000
0.500 0.500 0.500
0.000 0.306 0.306
0.000 0.694 0.694
0.250 0.500 0.750
0.250 0.750 0.500
0.306 0.000 0.306
0.306 0.306 0.000
0.500 0.250 0.750
0.500 0.750 0.250
0.694 0.000 0.694
0.694 0.694 0.000
0.750 0.250 0.500
0.750 0.500 0.250
0.000 0.000 0.000
```

Results
- energy of formation (eV per atom) = -0.3197
- density (g/cm³) = 9.3

---

No. 7
Computed, not measured: a relaxed Pm2TmHg6 crystal at the PBE level of DFT.

POSCAR file:
```
Pm2TmHg6
1.0
7.273 -5.912 0.000
7.273 5.912 0.000
-0.951 0.000 5.397
Pm Tm Hg
4 2 12
Direct
0.041 0.293 0.083
0.293 0.041 0.583
0.707 0.959 0.417
0.959 0.707 0.917
0.377 0.623 0.750
0.623 0.377 0.250
0.073 0.814 0.471
0.159 0.407 0.638
0.186 0.927 0.029
0.270 0.515 0.196
0.407 0.159 0.138
0.485 0.730 0.304
0.515 0.270 0.696
0.593 0.841 0.862
0.730 0.485 0.804
0.814 0.073 0.971
0.841 0.593 0.362
0.927 0.186 0.529
```

Results
- energy of formation (eV per atom) = -0.4010
- density (g/cm³) = 11.9

---

No. 8
Computed, not measured: a relaxed Th4Rh crystal at the PBE level of DFT.

POSCAR file:
```
Th4Rh
1.0
5.511 0.000 0.000
0.000 5.511 0.000
0.000 0.000 5.511
Th Rh
4 1
Direct
0.000 0.000 0.000
0.000 0.500 0.500
0.500 0.000 0.500
0.500 0.500 0.000
0.500 0.500 0.500
```

Results
- energy of formation (eV per atom) = -0.0245
- density (g/cm³) = 10.2

---

Total moment list, top to bottom, in μB per formula unit: 0.00 0.00 0.00 1.62 3.72 22.30 0.00 0.00